[1]
! PBE La2HoBi, relaxed; values from VASP
&SYSTEM
  ibrav = 0, nat = 4, ntyp = 3
/
ATOMIC_SPECIES
La 138.91 La.upf
Ho 164.93 Ho.upf
Bi 208.98 Bi.upf
CELL_PARAMETERS angstrom
-1.659 2.718 -1.702
-3.604 0.215 0.028
-1.263 7.843 9.926
ATOMIC_POSITIONS angstrom
La -1.393 6.026 7.151
La -5.133 4.750 1.100
Ho -3.263 5.388 4.126
Bi 0.000 0.000 0.000
! * distance to the lowest polymorph of the same formula: 1.78 eV per formula unit
! * formation energy: 0.00 eV per atom

[2]
! PBE BeVCr, relaxed; values from VASP
&SYSTEM
  ibrav = 0, nat = 3, ntyp = 3
/
ATOMIC_SPECIES
Be 9.01 Be.upf
Cr 52.00 Cr.upf
V 50.94 V.upf
CELL_PARAMETERS angstrom
-1.606 1.713 0.032
-1.223 -1.076 -3.731
-1.733 -1.686 3.275
ATOMIC_POSITIONS angstrom
Be -1.580 1.686 0.032
Cr -2.626 -0.349 0.961
V -1.961 -0.673 -1.384
! * distance to the lowest polymorph of the same formula: 0.00 eV per formula unit
! * formation energy: 0.03 eV per atom

[3]
! PBE CaBe2Zn2, relaxed; values from VASP
&SYSTEM
  ibrav = 0, nat = 10, ntyp = 3
/
ATOMIC_SPECIES
Be 9.01 Be.upf
Zn 65.41 Zn.upf
Ca 40.08 Ca.upf
CELL_PARAMETERS angstrom
7.494 0.000 0.000
0.000 7.494 0.000
0.000 0.000 2.567
ATOMIC_POSITIONS angstrom
Be 2.738 6.485 0.000
Be 6.485 4.757 0.000
Be 4.757 1.010 0.000
Be 1.010 2.738 0.000
Zn 1.160 4.907 1.284
Zn 2.588 1.160 1.284
Zn 4.907 6.335 1.284
Zn 6.335 2.588 1.284
Ca 3.747 3.747 0.000
Ca 0.000 0.000 0.000
! * distance to the lowest polymorph of the same formula: 0.86 eV per formula unit
! * formation energy: 0.21 eV per atom

[4]
! PBE Nd2Cu2AgPt5, relaxed; values from VASP
&SYSTEM
  ibrav = 0, nat = 20, ntyp = 4
/
ATOMIC_SPECIES
Pt 195.08 Pt.upf
Cu 63.55 Cu.upf
Nd 144.24 Nd.upf
Ag 107.87 Ag.upf
CELL_PARAMETERS angstrom
4.024 0.000 0.000
0.000 9.446 0.000
0.000 0.000 9.446
ATOMIC_POSITIONS angstrom
Pt 2.012 0.000 4.723
Pt 2.012 4.100 2.750
Pt 2.012 4.723 0.000
Pt 2.012 7.473 8.823
Pt 2.012 0.623 7.473
Pt 2.012 1.973 0.623
Pt 2.012 8.823 1.973
Pt 2.012 5.346 6.696
Pt 2.012 2.750 5.346
Pt 2.012 6.696 4.100
Cu 0.000 5.836 8.333
Cu 0.000 8.333 3.610
Cu 0.000 1.113 5.836
Cu 0.000 3.610 1.113
Nd 0.000 3.025 7.748
Nd 0.000 1.697 3.025
Nd 0.000 7.748 6.420
Nd 0.000 6.420 1.697
Ag 0.000 0.000 0.000
Ag 0.000 4.723 4.723
! * formation energy: -0.66 eV per atom

[5]
! PBE MnTeSI2, relaxed; values from VASP
&SYSTEM
  ibrav = 0, nat = 5, ntyp = 4
/
ATOMIC_SPECIES
Mn 54.94 Mn.upf
I 126.90 I.upf
S 32.06 S.upf
Te 127.60 Te.upf
CELL_PARAMETERS angstrom
5.492 0.000 0.000
0.000 5.492 0.000
0.000 0.000 5.403
ATOMIC_POSITIONS angstrom
Mn 2.746 2.746 2.702
I 2.746 0.000 0.000
I 0.000 2.746 0.000
S 0.000 0.000 0.000
Te 0.000 0.000 2.702
! * distance to the lowest polymorph of the same formula: 0.00 eV per formula unit

Number 5 is which compound?
MnTeSI2

Number 1 is which compound?
La2HoBi